Compound: Tl2CdSn
Source: Alexandria via LeMat-Bulk
Functional: PBE
Structure: relaxed

Output
Mass density (g cm⁻³): 9.27
SG: Pmm2, No. 25
Total magnetic moment (μB per formula unit): 0.000
ΔE to the lowest computed polymorph (eV/atom): 0.011
Formation energy (kJ/mol of atoms): 3.3

Cell: 3.5330 3.8990 8.3169 Å, 90.00 90.00 90.00°
Last column: nearest neighbours and their distance in Å.
Fractional positions:
Tl1 0.0000 0.0000 0.0000  4 Cd 3.29, 6 Tl 3.53-3.59
Tl2 0.5000 0.5000 0.2935  4 Sn 3.40, 6 Tl 3.53-3.59
Cd1 0.5000 0.5000 0.7620  4 Sn 3.15, 4 Tl 3.29, 2 Cd 3.53
Sn1 0.0000 0.0000 0.5528  4 Cd 3.15, 4 Tl 3.40, 2 Sn 3.53